{
  "formula": "La3Tm2ThAs6",
  "functional": "PBE-GGA",
  "state": "optimized geometry",
  "lattice": [[-1.316, -5.302, 4.920], [6.755, 0.838, -2.779], [-0.236, 5.893, 4.453]],
  "species": ["La", "La", "La", "Tm", "Tm", "Th", "As", "As", "As", "As", "As", "As"],
  "fractional_positions": [[0.166, 0.834, 0.500], [0.834, 0.166, 0.500], [0.500, 0.500, 0.500], [0.333, 0.667, 0.000], [0.667, 0.333, 0.000], [0.000, 0.000, 0.000], [0.921, 0.583, 0.764], [0.740, 0.740, 0.235], [0.079, 0.417, 0.236], [0.583, 0.921, 0.764], [0.260, 0.260, 0.765], [0.417, 0.079, 0.236]],
  "magmom_total_mub_per_atom": 0.000,
  "crystal_system": "monoclinic",
  "formation_energy_ev_per_atom": -1.526
}